[1]
A plane-wave DFT calculation with PBE with a Hubbard U was carried out for an optimized crystal structure of SbMoO2F.

a b c (Å): 4.1789 4.1789 4.4436
angles (deg): 90.00 90.00 90.00
Closest atoms and distances in Å follow each position.
Sites, in units of the cell vectors:
Sb (0.0000, 0.0000, 0.0000)  4 O 2.09, 2 F 2.22
Mo (0.5000, 0.5000, 0.5000)  4 F 2.95, 8 O 3.05
O (0.0000, 0.5000, 0.0000)  2 Sb 2.09
O (0.5000, 0.0000, 0.0000)  2 Sb 2.09
F (0.0000, 0.0000, 0.5000)  2 Sb 2.22

Computed properties:
symmetry	No. 123
energy	-26.67	eV for the cell shown
crystal system	tetragonal



[2]
A plane-wave DFT calculation with PBE with a Hubbard U was carried out for an optimized crystal structure of SbMoOF2.

a b c (Å): 4.2817 4.2817 4.2797
angles (deg): 90.00 90.00 90.00
Closest atoms and distances in Å follow each position.
Sites, in units of the cell vectors:
Sb (0.5000, 0.5000, 0.5000)  8 F 3.03, 4 O 3.03
Mo (0.0000, 0.0000, 0.0000)  2 O 2.14, 4 F 2.14
O (0.0000, 0.0000, 0.5000)  2 Mo 2.14
F (0.0000, 0.5000, 0.0000)  2 Mo 2.14
F (0.5000, 0.0000, 0.0000)  2 Mo 2.14

Computed properties:
symmetry	No. 123
crystal system	tetragonal
energy relative to the lowest polymorph listed for this composition	0	meV/atom



[3]
A plane-wave DFT calculation with PBE with a Hubbard U was carried out for an optimized crystal structure of SbMoO2F.

a b c (Å): 4.2092 4.2092 4.1517
angles (deg): 90.00 90.00 90.00
Closest atoms and distances in Å follow each position.
Sites, in units of the cell vectors:
Sb (0.5000, 0.5000, 0.5000)  8 O 2.96, 4 F 2.98
Mo (0.0000, 0.0000, 0.0000)  2 F 2.08, 4 O 2.10
O (0.0000, 0.5000, 0.0000)  2 Mo 2.10
O (0.5000, 0.0000, 0.0000)  2 Mo 2.10
F (0.0000, 0.0000, 0.5000)  2 Mo 2.08

Computed properties:
symmetry	No. 123
energy	-28.32	eV for the cell shown
crystal system	tetragonal



[4]
A plane-wave DFT calculation with PBE with a Hubbard U was carried out for an optimized crystal structure of SbMoOF2.

a b c (Å): 4.5478 4.5478 4.2955
angles (deg): 90.00 90.00 90.00
Closest atoms and distances in Å follow each position.
Sites, in units of the cell vectors:
Sb (0.0000, 0.0000, 0.0000)  2 O 2.15, 4 F 2.27
Mo (0.5000, 0.5000, 0.5000)  8 F 3.13, 4 O 3.22
O (0.0000, 0.0000, 0.5000)  2 Sb 2.15
F (0.0000, 0.5000, 0.0000)  2 Sb 2.27
F (0.5000, 0.0000, 0.0000)  2 Sb 2.27

Computed properties:
symmetry	No. 123
crystal system	tetragonal
energy relative to the lowest polymorph listed for this composition	238	meV/atom



[5]
A plane-wave DFT calculation with PBE with a Hubbard U was carried out for an optimized crystal structure of MoSeO2F.

a b c (Å): 3.9101 3.9101 4.7458
angles (deg): 90.00 90.00 90.00
Closest atoms and distances in Å follow each position.
Sites, in units of the cell vectors:
Mo (0.5000, 0.5000, 0.5000)  4 F 2.76, 8 O 3.07
O (0.0000, 0.5000, 0.0000)  2 Se 1.96
O (0.5000, 0.0000, 0.0000)  2 Se 1.96
Se (0.0000, 0.0000, 0.0000)  4 O 1.96
F (0.0000, 0.0000, 0.5000)  2 Se 2.37

Computed properties:
symmetry	No. 123
energy	-23.49	eV for the cell shown
crystal system	tetragonal



[6]
A plane-wave DFT calculation with PBE with a Hubbard U was carried out for an optimized crystal structure of MoSeO5F.

a b c (Å): 5.3537 5.3537 7.4576
angles (deg): 103.28 103.28 93.50
Closest atoms and distances in Å follow each position.
Sites, in units of the cell vectors:
Mo (0.0000, 0.0000, 0.5000)  6 O 1.91-2.03
Mo (0.0000, 0.0000, 0.0000)  6 O 1.91-2.03
Se (0.6284, 0.3716, 0.2500)  4 O 1.78-1.91, 1 F 1.87
Se (0.3716, 0.6284, 0.7500)  4 O 1.78-1.91, 1 F 1.87
O (0.0606, 0.9394, 0.2500)  2 Mo 1.92
O (0.9394, 0.0606, 0.7500)  2 Mo 1.92
O (0.8629, 0.3293, 0.1142)  1 Se 1.78
O (0.1371, 0.6707, 0.8858)  1 Se 1.78
O (0.6707, 0.1371, 0.3858)  1 Se 1.78
O (0.3293, 0.8629, 0.6142)  1 Se 1.78
O (0.8350, 0.6551, 0.4408)  1 Se 1.91, 1 Mo 1.91
O (0.1650, 0.3449, 0.5592)  1 Se 1.91, 1 Mo 1.91
O (0.3449, 0.1650, 0.0592)  1 Se 1.91, 1 Mo 1.91
O (0.6551, 0.8350, 0.9408)  1 Se 1.91, 1 Mo 1.91
F (0.3882, 0.6118, 0.2500)  1 Se 1.87
F (0.6118, 0.3882, 0.7500)  1 Se 1.87

Computed properties:
symmetry	No. 15
energy	-89.65	eV for the cell shown
crystal system	monoclinic



[7]
A plane-wave DFT calculation with PBE with a Hubbard U was carried out for an optimized crystal structure of MoSeOF2.

a b c (Å): 4.3175 4.3175 4.0351
angles (deg): 90.00 90.00 90.00
Closest atoms and distances in Å follow each position.
Sites, in units of the cell vectors:
Mo (0.0000, 0.0000, 0.0000)  2 O 2.02, 4 F 2.16
O (0.0000, 0.0000, 0.5000)  2 Mo 2.02
Se (0.5000, 0.5000, 0.5000)  8 F 2.95, 4 O 3.05
F (0.0000, 0.5000, 0.0000)  2 Mo 2.16
F (0.5000, 0.0000, 0.0000)  2 Mo 2.16

Computed properties:
symmetry	No. 123
crystal system	tetragonal
energy relative to the lowest polymorph listed for this composition	0	meV/atom



[8]
A plane-wave DFT calculation with PBE with a Hubbard U was carried out for an optimized crystal structure of MoSeOF2.

a b c (Å): 4.5880 4.5880 3.8128
angles (deg): 90.00 90.00 90.00
Closest atoms and distances in Å follow each position.
Sites, in units of the cell vectors:
Mo (0.5000, 0.5000, 0.5000)  8 F 2.98, 4 O 3.24
O (0.0000, 0.0000, 0.5000)  2 Se 1.91
Se (0.0000, 0.0000, 0.0000)  2 O 1.91
F (0.0000, 0.5000, 0.0000)  2 Se 2.29
F (0.5000, 0.0000, 0.0000)  2 Se 2.29

Computed properties:
symmetry	No. 123
crystal system	tetragonal
energy relative to the lowest polymorph listed for this composition	679	meV/atom